Record 1
# Tl12Pd3Au5

An optimized crystal structure of Tl12Pd3Au5 (PBE-GGA, the Alexandria database).

Cell lengths 14.492, 14.492, 14.492 Å; angles 109.47, 109.47, 109.47 degrees
Atoms (fractional coordinates):
1 Pd 0.750 0.375 0.125
2 Pd 0.875 0.750 0.125
3 Pd 0.375 0.750 0.625
4 Pd 0.250 0.125 0.375
5 Pd 0.875 0.125 0.250
6 Pd 0.375 0.625 0.250
7 Pd 0.625 0.375 0.750
8 Pd 0.125 0.875 0.750
9 Pd 0.750 0.875 0.625
10 Pd 0.625 0.250 0.375
11 Pd 0.125 0.250 0.875
12 Pd 0.250 0.625 0.875
13 Au 0.125 0.375 0.250
14 Au 0.000 0.500 0.000
15 Au 0.000 0.000 0.000
16 Au 0.375 0.250 0.125
17 Au 0.500 0.000 0.500
18 Au 0.500 0.500 0.000
19 Au 0.125 0.750 0.375
20 Au 0.750 0.125 0.875
21 Au 0.750 0.625 0.375
22 Au 0.375 0.125 0.750
23 Au 0.625 0.875 0.250
24 Au 0.500 0.500 0.500
25 Au 0.500 0.000 0.000
26 Au 0.000 0.000 0.500
27 Au 0.250 0.375 0.625
28 Au 0.250 0.875 0.125
29 Au 0.000 0.500 0.500
30 Au 0.875 0.250 0.625
31 Au 0.625 0.750 0.875
32 Au 0.875 0.625 0.750
33 Tl 0.734 0.131 0.063
34 Tl 0.329 0.563 0.432
35 Tl 0.937 0.369 0.266
36 Tl 0.563 0.234 0.131
37 Tl 0.602 0.734 0.671
38 Tl 0.937 0.568 0.171
39 Tl 0.329 0.766 0.398
40 Tl 0.068 0.898 0.131
41 Tl 0.568 0.937 0.671
42 Tl 0.734 0.602 0.171
43 Tl 0.766 0.437 0.369
44 Tl 0.829 0.932 0.063
45 Tl 0.131 0.734 0.563
46 Tl 0.369 0.432 0.102
47 Tl 0.102 0.932 0.369
48 Tl 0.398 0.131 0.568
49 Tl 0.102 0.171 0.234
50 Tl 0.437 0.671 0.068
51 Tl 0.829 0.898 0.266
52 Tl 0.131 0.398 0.068
53 Tl 0.369 0.937 0.766
54 Tl 0.568 0.631 0.398
55 Tl 0.932 0.829 0.563
56 Tl 0.766 0.329 0.898
57 Tl 0.432 0.369 0.602
58 Tl 0.068 0.171 0.437
59 Tl 0.234 0.671 0.102
60 Tl 0.171 0.102 0.734
61 Tl 0.631 0.063 0.234
62 Tl 0.869 0.602 0.932
63 Tl 0.563 0.329 0.932
64 Tl 0.602 0.869 0.432
65 Tl 0.898 0.829 0.766
66 Tl 0.898 0.068 0.631
67 Tl 0.869 0.266 0.437
68 Tl 0.171 0.068 0.937
69 Tl 0.631 0.568 0.898
70 Tl 0.432 0.063 0.329
71 Tl 0.266 0.398 0.829
72 Tl 0.234 0.563 0.631
73 Tl 0.932 0.102 0.869
74 Tl 0.671 0.234 0.602
75 Tl 0.437 0.766 0.869
76 Tl 0.063 0.432 0.829
77 Tl 0.398 0.266 0.329
78 Tl 0.063 0.631 0.734
79 Tl 0.671 0.437 0.568
80 Tl 0.266 0.869 0.937

Results
ΔH_f (0 K): 0.079 eV/atom
Total DFT energy (no corrections): -2.9389 eV per atom
Crystal system: cubic
Fermi-level density of states: 6.9 states/eV/f.u.
Size of the total moment: 0.00 μB/f.u.

Record 2
# Ac4GeSe2I

An optimized crystal structure of Ac4GeSe2I (PBE-GGA, the Alexandria database).

Cell lengths 4.561, 7.846, 8.064 Å; angles 70.91, 90.00, 90.00 degrees
Atoms (fractional coordinates):
1 Ac 0.000 0.767 0.721
2 Ac 0.000 0.233 0.279
3 Ac 0.500 0.751 0.271
4 Ac 0.500 0.249 0.729
5 Ge 0.000 0.500 0.500
6 Se 0.000 0.000 0.000
7 Se 0.500 0.000 0.500
8 I 0.500 0.500 0.000

Results
E_form (uncorrected): -1.392 eV/atom
Total DFT energy (no corrections): -5.0881 eV per atom
Crystal system: monoclinic
Fermi-level density of states: 4.5 states/eV/f.u.
Size of the total moment: 0.00 μB/f.u.

Record 3
# MnCd3Si

An optimized crystal structure of MnCd3Si (PBE-GGA, the Alexandria database).

Cell lengths 5.102, 5.102, 5.102 Å; angles 90.00, 90.00, 90.00 degrees
Last column: magnetic moment on the atom in μB.
Atoms (fractional coordinates):
1 Si 0.000 0.000 0.000  0.01
2 Mn 0.500 0.500 0.500  4.31
3 Cd 0.000 0.500 0.000  -0.02
4 Cd 0.000 0.000 0.500  0.00
5 Cd 0.500 0.000 0.000  -0.02

Results
E_form (uncorrected): 0.762 eV/atom
Total DFT energy (no corrections): -2.7060 eV per atom
Crystal system: cubic
Fermi-level density of states: 2.3 states/eV/f.u.
Energy above the lowest structure with this stoichiometry: 0.000 eV per formula unit
Size of the total moment: 4.44 μB/f.u.